The following is a DFT calculation (PBE) of a relaxed Pu2GaPd4 crystal.

Cell: 6.229 6.229 5.893 Å, 121.93 121.92 89.96°
Last column: magnetic moment on the atom in μB.
Fractional positions:
Pu  0.750  0.250  0.500  5.18
Pu  0.250  0.750  0.500  5.18
Ga  0.000  0.000  0.000  -0.04
Pd  0.718  0.283  0.000  -0.06
Pd  0.282  0.717  0.000  -0.06
Pd  0.282  0.282  0.000  -0.06
Pd  0.718  0.718  0.000  -0.06

Properties
ρ: 10753 kg/m³
Magnetic moment: 10.40 Bohr magnetons per cell
ΔH_f (0 K): -371 meV per atom


The following is a DFT calculation (PBE) of a relaxed VMoPt crystal.

Cell: 5.347 4.866 8.114 Å, 90.00 121.97 90.00°
Fractional positions:
Mo  0.997  0.668  0.327
Mo  0.003  0.668  0.673
Mo  0.997  0.168  0.827
Mo  0.003  0.168  0.173
Pt  0.496  0.848  0.329
Pt  0.504  0.848  0.671
Pt  0.496  0.348  0.829
Pt  0.504  0.348  0.171
V  0.000  0.662  0.000
V  0.000  0.162  0.500
V  0.500  0.363  0.500
V  0.500  0.863  0.000

Properties
Distance to the lowest polymorph of the same formula: 43 meV per atom
ρ: 12682 kg/m³
Magnetic moment: 0.00 Bohr magnetons per cell
ΔH_f (0 K): -237 meV per atom


The following is a DFT calculation (PBE) of a relaxed Tb2PmSc3Se6 crystal.

Cell: 6.910 6.910 6.985 Å, 99.44 99.44 120.22°
Fractional positions:
Tb  0.334  0.666  0.000
Tb  0.666  0.334  0.000
Pm  0.000  0.000  0.000
Sc  0.161  0.839  0.500
Sc  0.839  0.161  0.500
Sc  0.500  0.500  0.500
Se  0.910  0.570  0.729
Se  0.750  0.750  0.268
Se  0.090  0.430  0.271
Se  0.570  0.910  0.729
Se  0.250  0.250  0.732
Se  0.430  0.090  0.271

Properties
ρ: 6538 kg/m³
Magnetic moment: 0.00 Bohr magnetons per cell
Formation energy (no corrections): -38.88 kcal/mol of atoms


The following is a DFT calculation (PBE) of a relaxed V3Pd2Rh3 crystal.

Cell: 3.841 3.856 7.575 Å, 90.00 90.00 90.00°
Fractional positions:
V  0.500  0.500  0.747
V  0.500  0.500  0.253
V  0.500  0.000  0.000
Pd  0.000  0.000  0.752
Pd  0.000  0.000  0.248
Rh  0.500  0.000  0.500
Rh  0.000  0.500  0.000
Rh  0.000  0.500  0.500

Properties
Distance to the lowest polymorph of the same formula: 28 meV per atom
ρ: 9983 kg/m³
Magnetic moment: 0.00 Bohr magnetons per cell
ΔH_f (0 K): -284 meV per atom


The following is a DFT calculation (PBE) of a relaxed LiTlRh2 crystal.

Cell: 4.558 2.970 4.697 Å, 90.00 90.00 90.00°
Fractional positions:
Li  0.500  0.875  0.703
Rh  0.000  0.875  0.059
Rh  0.500  0.375  0.179
Tl  0.000  0.375  0.559

Properties
ρ: 10895 kg/m³
Magnetic moment: 0.00 Bohr magnetons per cell
ΔH_f (0 K): -16 meV per atom


The following is a DFT calculation (PBE) of a relaxed La10CeHo4 crystal.

Cell: 10.790 8.843 8.843 Å, 68.15 52.41 52.41°
Last column: magnetic moment on the atom in μB.
Fractional positions:
La  0.250  0.500  0.500  -0.01
La  0.542  0.332  0.893  -0.01
La  0.126  0.107  0.332  -0.01
La  0.565  0.893  0.668  -0.01
La  0.767  0.668  0.107  -0.01
La  0.458  0.668  0.107  -0.01
La  0.750  0.500  0.500  -0.01
La  0.233  0.332  0.893  -0.01
La  0.435  0.107  0.332  -0.01
La  0.874  0.893  0.668  -0.01
Ce  0.000  0.000  0.000  1.05
Ho  0.334  0.727  0.605  0.03
Ho  0.939  0.395  0.727  0.03
Ho  0.061  0.605  0.273  0.03
Ho  0.666  0.273  0.395  0.03

Properties
ρ: 6861 kg/m³
Magnetic moment: 1.30 Bohr magnetons per cell
ΔH_f (0 K): 277 meV per atom


The following is a DFT calculation (PBE) of a relaxed K3Np2Te6Rh crystal.

Cell: 7.577 7.577 8.623 Å, 98.52 98.52 120.15°
Last column: magnetic moment on the atom in μB.
Fractional positions:
K  0.174  0.826  0.500  0.00
K  0.826  0.174  0.500  0.00
K  0.500  0.500  0.500  0.00
Np  0.334  0.666  0.000  3.90
Np  0.666  0.334  0.000  3.90
Te  0.935  0.631  0.804  -0.06
Te  0.765  0.765  0.199  -0.06
Te  0.065  0.369  0.196  -0.06
Te  0.631  0.935  0.804  -0.06
Te  0.235  0.235  0.801  -0.06
Te  0.369  0.065  0.196  -0.06
Rh  0.000  0.000  0.000  0.27

Properties
ρ: 5931 kg/m³
Magnetic moment: 8.02 Bohr magnetons per cell
Formation energy (no corrections): -16.89 kcal/mol of atoms


The following is a DFT calculation (PBE) of a relaxed Tm5Te2Ir crystal.

Cell: 5.228 8.462 13.312 Å, 90.00 90.00 107.99°
Fractional positions:
Tm  0.902  0.803  0.887
Tm  0.902  0.803  0.613
Tm  0.311  0.622  0.428
Tm  0.311  0.622  0.072
Tm  0.741  0.481  0.250
Tm  0.259  0.519  0.750
Tm  0.689  0.378  0.572
Tm  0.689  0.378  0.928
Tm  0.098  0.197  0.113
Tm  0.098  0.197  0.387
Te  0.909  0.819  0.385
Te  0.909  0.819  0.115
Te  0.091  0.181  0.615
Te  0.091  0.181  0.885
Ir  0.779  0.558  0.750
Ir  0.221  0.442  0.250

Properties
Distance to the lowest polymorph of the same formula: 297 meV per atom
ρ: 7661 kg/m³
Magnetic moment: 0.00 Bohr magnetons per cell
Formation energy (no corrections): -13.21 kcal/mol of atoms


The following is a DFT calculation (PBE) of a relaxed AsRuSe crystal.

Cell: 6.226 6.226 7.052 Å, 106.09 106.09 111.86°
Fractional positions:
As  0.122  0.437  0.632
As  0.187  0.372  0.132
As  0.239  0.055  0.868
As  0.805  0.489  0.368
Ru  0.961  0.962  0.498
Ru  0.213  0.714  0.002
Ru  0.464  0.463  0.502
Ru  0.712  0.211  0.998
Se  0.679  0.879  0.133
Se  0.296  0.997  0.367
Se  0.629  0.929  0.633
Se  0.747  0.546  0.867

Properties
ρ: 7680 kg/m³
Magnetic moment: 0.00 Bohr magnetons per cell
Formation energy (no corrections): -6.88 kcal/mol of atoms


The following is a DFT calculation (PBE) of a relaxed Pm2HfSc crystal.

Cell: 3.425 3.425 9.566 Å, 90.00 90.00 90.00°
Fractional positions:
Sc  0.500  0.500  0.000
Hf  0.500  0.500  0.500
Pm  0.000  0.000  0.742
Pm  0.000  0.000  0.258

Properties
Distance to the lowest polymorph of the same formula: 0 meV per atom
ρ: 7598 kg/m³
Magnetic moment: 0.00 Bohr magnetons per cell
ΔH_f (0 K): 152 meV per atom


The following is a DFT calculation (PBE) of a relaxed RbY2Zr crystal.

Cell: 8.894 8.894 7.191 Å, 51.80 51.80 90.00°
Last column: magnetic moment on the atom in μB.
Fractional positions:
Y  0.638  0.125  0.250  0.31
Y  0.112  0.625  0.250  0.32
Y  0.375  0.362  0.750  0.31
Y  0.875  0.888  0.750  0.32
Rb  0.500  0.500  0.000  0.03
Rb  0.250  0.750  0.500  0.03
Zr  0.000  0.000  0.000  0.97
Zr  0.750  0.250  0.500  0.97

Properties
Distance to the lowest polymorph of the same formula: 265 meV per atom
ρ: 4268 kg/m³
Magnetic moment: 5.39 Bohr magnetons per cell
ΔH_f (0 K): 1049 meV per atom


The following is a DFT calculation (PBE) of a relaxed PPtS2Cl crystal.

Cell: 4.694 4.694 4.745 Å, 90.00 90.00 90.00°
Fractional positions:
P  0.500  0.500  0.500
S  0.000  0.500  0.000
S  0.500  0.000  0.000
Pt  0.000  0.000  0.000
Cl  0.000  0.000  0.500

Properties
Distance to the lowest polymorph of the same formula: 12 meV per atom
ρ: 5172 kg/m³
Magnetic moment: 0.00 Bohr magnetons per cell
Formation energy (no corrections): 17.63 kcal/mol of atoms


The following is a DFT calculation (PBE) of a relaxed BaBi2Pb crystal.

Cell: 5.033 5.033 12.463 Å, 101.57 101.57 90.36°
Fractional positions:
Ba  0.115  0.115  0.220
Ba  0.895  0.895  0.780
Bi  0.351  0.351  0.687
Bi  0.664  0.664  0.313
Bi  0.954  0.507  0.000
Bi  0.507  0.954  0.000
Pb  0.256  0.756  0.500
Pb  0.756  0.256  0.500

Properties
ρ: 8366 kg/m³
Magnetic moment: 0.00 Bohr magnetons per cell
ΔH_f (0 K): -428 meV per atom


The following is a DFT calculation (PBE) of a relaxed EuMgZnNi crystal.

Cell: 4.838 4.838 4.838 Å, 60.00 60.00 60.00°
Last column: magnetic moment on the atom in μB.
Fractional positions:
Eu  0.000  0.000  0.000  6.78
Ni  0.250  0.250  0.250  -0.06
Zn  0.750  0.750  0.750  0.03
Mg  0.500  0.500  0.500  0.00

Properties
ρ: 6230 kg/m³
Magnetic moment: 7.11 Bohr magnetons per cell
ΔH_f (0 K): -77 meV per atom


The following is a DFT calculation (PBE) of a relaxed Ba3NaTb2Te6 crystal.

Cell: 8.122 8.122 8.215 Å, 99.45 99.45 119.99°
Fractional positions:
Ba  0.162  0.838  0.500
Ba  0.838  0.162  0.500
Ba  0.500  0.500  0.500
Na  0.000  0.000  0.000
Tb  0.332  0.668  0.000
Tb  0.668  0.332  0.000
Te  0.926  0.582  0.781
Te  0.728  0.728  0.214
Te  0.074  0.418  0.219
Te  0.582  0.926  0.781
Te  0.272  0.272  0.786
Te  0.418  0.074  0.219

Properties
ρ: 5687 kg/m³
Magnetic moment: 0.00 Bohr magnetons per cell
Formation energy (no corrections): -35.08 kcal/mol of atoms


The following is a DFT calculation (PBE) of a relaxed Ta2BeCr crystal.

Cell: 2.743 2.743 7.872 Å, 90.00 90.00 103.44°
Fractional positions:
Cr  0.500  0.500  0.714
Be  0.000  0.000  0.522
Ta  0.000  0.000  0.977
Ta  0.500  0.500  0.287

Properties
ρ: 12195 kg/m³
Magnetic moment: 0.00 Bohr magnetons per cell
ΔH_f (0 K): 187 meV per atom


The following is a DFT calculation (PBE) of a relaxed YTl3O crystal.

Cell: 5.972 5.972 5.972 Å, 90.00 90.00 90.00°
Last column: magnetic moment on the atom in μB.
Fractional positions:
Y  0.000  0.000  0.000  0.36
Tl  0.000  0.500  0.000  0.09
Tl  0.000  0.000  0.500  0.04
Tl  0.500  0.000  0.000  0.08
O  0.500  0.500  0.500  0.03

Properties
Distance to the lowest polymorph of the same formula: 1076 meV per atom
ρ: 5597 kg/m³
Magnetic moment: 1.02 Bohr magnetons per cell
Formation energy (no corrections): 21.11 kcal/mol of atoms


The following is a DFT calculation (PBE) of a relaxed Ba2LiMgAu2 crystal.

Cell: 6.431 6.437 9.820 Å, 109.13 109.12 90.00°
Fractional positions:
Ba  0.408  0.167  0.334
Ba  0.592  0.833  0.666
Ba  0.075  0.333  0.666
Ba  0.925  0.667  0.334
Li  0.000  0.750  0.000
Li  0.000  0.250  0.000
Mg  0.500  0.750  0.000
Mg  0.500  0.250  0.000
Au  0.841  0.099  0.198
Au  0.357  0.599  0.198
Au  0.643  0.401  0.802
Au  0.159  0.901  0.802

Properties
ρ: 6451 kg/m³
Magnetic moment: 0.00 Bohr magnetons per cell
ΔH_f (0 K): -537 meV per atom


The following is a DFT calculation (PBE) of a relaxed ZrAg2Pb crystal.

Cell: 5.380 5.380 3.252 Å, 90.00 90.00 111.33°
Fractional positions:
Ag  0.000  0.000  0.000
Ag  0.500  0.500  0.000
Pb  0.500  0.000  0.500
Zr  0.000  0.500  0.500

Properties
ρ: 9738 kg/m³
Magnetic moment: 0.00 Bohr magnetons per cell
ΔH_f (0 K): 105 meV per atom


The following is a DFT calculation (PBE) of a relaxed Hf2AlPd crystal.

Cell: 4.376 4.376 5.460 Å, 66.44 66.44 60.02°
Fractional positions:
Hf  0.026  0.026  0.922
Hf  0.230  0.230  0.311
Al  0.807  0.807  0.580
Pd  0.437  0.437  0.688

Properties
ρ: 10137 kg/m³
Magnetic moment: 0.00 Bohr magnetons per cell
ΔH_f (0 K): -269 meV per atom


The following is a DFT calculation (PBE) of a relaxed ZnAu2Se crystal.

Cell: 4.014 4.014 10.006 Å, 78.43 78.43 90.00°
Fractional positions:
Zn  0.500  0.500  0.000
Zn  0.250  0.750  0.500
Au  0.617  0.125  0.250
Au  0.133  0.625  0.250
Au  0.375  0.383  0.750
Au  0.875  0.867  0.750
Se  0.000  0.000  0.000
Se  0.750  0.250  0.500

Properties
ρ: 11562 kg/m³
Magnetic moment: 0.00 Bohr magnetons per cell
Formation energy (no corrections): 0.18 kcal/mol of atoms


The following is a DFT calculation (PBE) of a relaxed CoCuPt3 crystal.

Cell: 4.546 4.546 4.546 Å, 90.00 90.00 90.00°
Last column: magnetic moment on the atom in μB.
Fractional positions:
Co  0.000  0.000  0.000  1.86
Cu  0.500  0.500  0.500  0.05
Pt  0.000  0.500  0.000  0.35
Pt  0.000  0.000  0.500  0.60
Pt  0.500  0.000  0.000  0.15

Properties
Distance to the lowest polymorph of the same formula: 1030 meV per atom
ρ: 12513 kg/m³
Magnetic moment: 3.10 Bohr magnetons per cell
ΔH_f (0 K): 1030 meV per atom


The following is a DFT calculation (PBE) of a relaxed Pr3As5Ir6 crystal.

Cell: 4.107 10.569 12.312 Å, 90.00 90.00 90.00°
Fractional positions:
Pr  0.000  0.256  0.661
Pr  0.500  0.744  0.161
Pr  0.500  0.744  0.839
Pr  0.000  0.262  0.000
Pr  0.500  0.738  0.500
Pr  0.000  0.256  0.339
As  0.000  0.518  0.871
As  0.000  0.858  0.671
As  0.000  0.871  0.000
As  0.500  0.482  0.629
As  0.500  0.129  0.500
As  0.000  0.518  0.129
As  0.500  0.482  0.371
As  0.000  0.858  0.329
As  0.500  0.142  0.829
As  0.500  0.142  0.171
Ir  0.000  0.006  0.833
Ir  0.500  0.994  0.667
Ir  0.500  0.371  0.813
Ir  0.500  0.512  0.000
Ir  0.000  0.488  0.500
Ir  0.000  0.629  0.687
Ir  0.000  0.629  0.313
Ir  0.500  0.010  0.000
Ir  0.000  0.006  0.167
Ir  0.500  0.371  0.187
Ir  0.000  0.990  0.500
Ir  0.500  0.994  0.333

Properties
ρ: 12123 kg/m³
Magnetic moment: 0.00 Bohr magnetons per cell
ΔH_f (0 K): -715 meV per atom